# 1
SiMo2As: optimized geometry, PBE.

Computed properties:
- Density of states at the Fermi level: 10.4 states/eV/cell
- ΔE to the lowest computed polymorph: 332 meV/atom
- Formation energy without anion corrections: 0.07 eV/atom
- Magnetization: 0.00 μB per cell

Lattice parameters (Å, degrees): 2.9935 2.9935 23.6846 90.00 90.00 120.00
Closest atoms and distances in Å follow each position.
Space group R-3m (No. 166, hexagonal axes)
One atom of each set of equivalent atoms:
Si  0.0000  0.0000  0.0000 [3 per cell]  6 Mo 2.62
Mo  0.0000  0.0000  0.2500 [6 per cell]  3 As 2.62, 3 Si 2.62
As  0.0000  0.0000  0.5000 [3 per cell]  6 Mo 2.62


# 2
SiMo2As: optimized geometry, PBE.

Computed properties:
- Density of states at the Fermi level: 7.5 states/eV/cell
- ΔE to the lowest computed polymorph: 343 meV/atom
- Formation energy without anion corrections: 0.08 eV/atom
- Magnetization: 0.00 μB per cell

Lattice parameters (Å, degrees): 3.0145 3.0145 24.1653 90.00 90.00 120.00
Closest atoms and distances in Å follow each position.
Space group R3m (No. 160, hexagonal axes)
One atom of each set of equivalent atoms:
Si  0.0000  0.0000  0.0000 [3 per cell]  3 Mo 2.57, 3 As 2.73
Mo  0.0000  0.0000  0.4982 [3 per cell]  3 As 2.63, 3 Mo 2.72
Mo  0.0000  0.0000  0.7450 [3 per cell]  3 Si 2.57, 3 Mo 2.72
As  0.0000  0.0000  0.2464 [3 per cell]  3 Mo 2.63, 3 Si 2.73


# 3
Si3MoAs: optimized geometry, PBE.

Computed properties:
- Density of states at the Fermi level: 6.2 states/eV/cell
- ΔE to the lowest computed polymorph: 0 meV/atom
- Formation energy without anion corrections: 0.80 eV/atom
- Magnetization: 0.00 μB per cell

Lattice parameters (Å, degrees): 4.7539 4.7539 4.7539 90.00 90.00 90.00
Closest atoms and distances in Å follow each position.
Space group Pm-3m (No. 221)
One atom of each set of equivalent atoms:
Si  0.0000  0.0000  0.5000 [3 per cell]  2 Mo 2.38
Mo  0.0000  0.0000  0.0000 [1 per cell]  6 Si 2.38
As  0.5000  0.5000  0.5000 [1 per cell]  12 Si 3.36


# 4
SiMoAs2: optimized geometry, PBE.

Computed properties:
- Density of states at the Fermi level: 2.1 states/eV/cell
- Formation energy without anion corrections: 0.17 eV/atom
- Magnetization: 0.00 μB per cell

Lattice parameters (Å, degrees): 3.1613 3.1613 6.6729 90.00 90.00 90.00
Closest atoms and distances in Å follow each position.
Space group P4/mmm (No. 123)
One atom of each set of equivalent atoms:
Si  0.0000  0.0000  0.0000 [1 per cell]  8 As 2.92, 4 Si 3.16
Mo  0.0000  0.0000  0.5000 [1 per cell]  8 As 2.67
As  0.5000  0.5000  0.2808 [2 per cell]  4 Mo 2.67, 4 Si 2.92, 1 As 2.92


# 5
SiMoAs2: optimized geometry, PBE.

Computed properties:
- Density of states at the Fermi level: 3.5 states/eV/cell
- Formation energy without anion corrections: 0.25 eV/atom
- Magnetization: 0.00 μB per cell

Lattice parameters (Å, degrees): 3.4649 4.5571 8.0934 90.00 90.00 90.00
Closest atoms and distances in Å follow each position.
Space group Immm (No. 71)
One atom of each set of equivalent atoms:
Si  0.0000  0.0000  0.0000 [2 per cell]  4 As 2.47
Mo  0.0000  0.0000  0.5000 [2 per cell]  4 Si 2.86, 8 As 2.87-2.88
As  0.0000  0.5000  0.2822 [4 per cell]  2 Si 2.47


# 6
SiMoAs2: optimized geometry, PBE.

Computed properties:
- Density of states at the Fermi level: 3.6 states/eV/cell
- Formation energy without anion corrections: 0.46 eV/atom
- Magnetization: 0.00 μB per cell

Lattice parameters (Å, degrees): 4.5231 4.5231 3.1548 90.00 90.00 90.00
Closest atoms and distances in Å follow each position.
Space group P4/mmm (No. 123)
One atom of each set of equivalent atoms:
Si  0.0000  0.0000  0.0000 [1 per cell]  8 As 2.76
Mo  0.5000  0.5000  0.0000 [1 per cell]  8 As 2.76
As  0.0000  0.5000  0.5000 [2 per cell]  4 Mo 2.76, 4 Si 2.76


# 7
SiMo2As: optimized geometry, PBE.

Computed properties:
- Density of states at the Fermi level: 6.6 states/eV/cell
- ΔE to the lowest computed polymorph: 104 meV/atom
- Formation energy without anion corrections: -0.16 eV/atom
- Magnetization: 0.00 μB per cell

Lattice parameters (Å, degrees): 8.9206 3.1501 4.4511 90.00 106.05 90.00
Closest atoms and distances in Å follow each position.
Space group Cm (No. 8)
One atom of each set of equivalent atoms:
Si  0.0000  0.0000  0.0000 [2 per cell]  7 Mo 2.57-2.73, 2 As 2.85
Mo  0.2631  0.0000  0.8669 [2 per cell]  3 Si 2.57, 4 As 2.68-2.78
Mo  0.4961  0.0000  0.4974 [2 per cell]  3 As 2.57-2.60, 4 Si 2.72-2.73
As  0.2551  0.5000  0.3493 [2 per cell]  7 Mo 2.57-2.78, 2 Si 2.85


# 8
SiMo2As: optimized geometry, PBE.

Computed properties:
- Density of states at the Fermi level: 5.8 states/eV/cell
- ΔE to the lowest computed polymorph: 444 meV/atom
- Formation energy without anion corrections: 0.18 eV/atom
- Magnetization: 0.00 μB per cell

Lattice parameters (Å, degrees): 3.2558 4.4671 9.3483 90.00 90.00 90.00
Closest atoms and distances in Å follow each position.
Space group Cmm2 (No. 35)
One atom of each set of equivalent atoms:
Si  0.0000  0.0000  0.0000 [2 per cell]  2 Mo 2.59, 4 Si 2.76
Mo  0.0000  0.0000  0.5494 [2 per cell]  2 As 2.66, 6 Mo 2.73-2.76
Mo  0.0000  0.5000  0.7839 [2 per cell]  2 Si 2.59, 6 Mo 2.73-2.76
As  0.0000  0.5000  0.3243 [2 per cell]  2 Mo 2.66, 4 As 2.76